Compound: CePRuPt
Source: Alexandria via LeMat-Bulk
Functional: PBE-GGA
Structure: optimized geometry

Geometry as extended XYZ:
```
8
Lattice="-3.873 0.516 0.751 -0.911 -2.123 -3.239 -0.045 -7.785 5.116" Properties=species:S:1:pos:R:3 pbc="T T T"
Pt -0.460 -1.860 -1.095
Pt -1.977 -6.728 4.967
Ce -1.947 -1.490 1.524
Ce -0.491 -7.099 2.347
P -0.472 -3.928 0.264
P -1.965 -4.661 3.608
Ru -2.415 -4.696 1.314
Ru -0.023 -3.893 2.558
```

- Energy of formation: -1040 meV per atom

***

Compound: Pm5HoAs6
Source: Alexandria via LeMat-Bulk
Functional: PBE-GGA
Structure: optimized geometry

Geometry as extended XYZ:
```
12
Lattice="7.218 0.177 1.097 1.774 6.123 3.569 0.122 0.066 7.302" Properties=species:S:1:pos:R:3 pbc="T T T"
Ho 0.000 0.000 0.000
As 5.622 0.658 3.521
As 6.247 2.695 7.194
As 3.492 5.708 8.447
As 6.767 4.748 3.515
As 2.866 3.671 4.775
As 2.225 1.552 1.151
Pm 1.263 4.125 7.251
Pm 3.987 1.159 6.001
Pm 4.496 3.150 2.333
Pm 5.126 5.207 5.967
Pm 0.632 2.065 3.621
```

- Energy of formation: -1524 meV per atom

***

Compound: ScWSeN2
Source: Alexandria via LeMat-Bulk
Functional: PBE-GGA
Structure: optimized geometry

Geometry as extended XYZ:
```
5
Lattice="-2.860 1.406 2.410 1.583 -2.024 3.059 2.937 4.021 1.140" Properties=species:S:1:pos:R:3 pbc="T T T"
N -1.430 0.703 1.205
N 0.791 -1.012 1.530
W 0.830 1.701 3.305
Sc 0.000 0.000 0.000
Se 1.469 2.010 0.570
```

- Formation energy from raw total energies: 1299.0 meV per atom
- Relative energy among the computed polymorphs: 7.63 eV per formula unit

***

Compound: ZnInPb2
Source: Alexandria via LeMat-Bulk
Functional: PBE-GGA
Structure: optimized geometry

Geometry as extended XYZ:
```
4
Lattice="-2.870 2.884 -1.013 -3.505 -1.142 -1.999 -5.556 -0.503 5.631" Properties=species:S:1:pos:R:3 pbc="T T T"
Pb -2.860 0.348 0.418
Pb -4.825 -0.272 4.218
Zn -4.257 1.159 -1.994
In -5.953 0.623 1.286
```

- Energy of formation: 176 meV per atom

***

Compound: LiNiI
Source: Alexandria via LeMat-Bulk
Functional: PBE-GGA
Structure: optimized geometry

Geometry as extended XYZ:
```
6
Lattice="28.323 0.000 0.029 8.770 1.862 -1.334 -8.770 1.862 1.334" Properties=species:S:1:pos:R:3 pbc="T T T"
Ni 18.855 1.862 0.356
Ni 26.236 1.862 -0.277
I 11.233 1.862 0.404
I 15.748 1.862 1.191
Li 0.507 1.862 0.533
Li 7.210 1.862 0.235
```

- Formation energy from raw total energies: -241.5 meV per atom
- Relative energy among the computed polymorphs: 0.07 eV per formula unit

***

Compound: Hf2InC
Source: Alexandria via LeMat-Bulk
Functional: PBE-GGA
Structure: optimized geometry

Geometry as extended XYZ:
```
4
Lattice="0.000 3.291 3.291 3.291 0.000 3.291 3.291 3.291 0.000" Properties=species:S:1:pos:R:3 pbc="T T T"
Hf 1.646 1.646 1.646
Hf 4.937 4.937 4.937
In 3.291 3.291 3.291
C 0.000 0.000 0.000
```

- Energy of formation: 923 meV per atom
- Relative energy among the computed polymorphs: 6.55 eV per formula unit

***

Listing calculated density for the structures above in their given order: 10.52, 6.99, 6.84, 8.59, 4.51, 11.26 g/cm3.
Listing DOS at the Fermi energy for the structures above in their given order: 7.4, 1.1, 6.6, 2.3, 0.0, 4.3 states/eV/cell.